Entry 1:
MgScRu2 after structural relaxation, computed with PBE.

a = 3.159 Å, b = 4.808 Å, c = 8.506 Å
α = 90.00°, β = 90.00°, γ = 90.00°
Space group Cmmm (No. 65)
One atom of each set of equivalent atoms:
Mg  0.000  0.000  0.000
Sc  0.000  0.000  0.500
Ru  0.000  0.500  0.254

Calculated values
* E_form: -0.0663 eV per atom
* crystal system: orthorhombic
* magnetization: 0.00 μB/f.u.

=====

Entry 2:
MgScRu2 after structural relaxation, computed with PBE.

a = 2.896 Å, b = 2.896 Å, c = 8.274 Å
α = 90.00°, β = 90.00°, γ = 90.00°
Space group P4mm (No. 99)
One atom of each set of equivalent atoms:
Mg  0.000  0.000  0.000
Sc  0.500  0.500  0.674
Ru  0.000  0.000  0.434
Ru  0.500  0.500  0.239

Calculated values
* E_form: -0.0846 eV per atom
* crystal system: tetragonal
* magnetization: 0.00 μB/f.u.

=====

Entry 3:
MgSc2Si2Ru5 after structural relaxation, computed with PBE.

a = 9.734 Å, b = 9.734 Å, c = 3.255 Å
α = 90.00°, β = 90.00°, γ = 90.00°
Space group P4/mbm (No. 127)
One atom of each set of equivalent atoms:
Mg  0.000  0.000  0.000
Sc  0.171  0.329  0.000
Si  0.130  0.630  0.000
Ru  0.000  0.500  0.500
Ru  0.071  0.793  0.500

Calculated values
* crystal system: tetragonal
* uncorrected formation energy: -0.5453 eV per atom
* magnetization: 0.00 μB/f.u.

=====

Entry 4:
Mg2ScSnRu after structural relaxation, computed with PBE.

a = 5.006 Å, b = 5.006 Å, c = 4.836 Å
α = 90.00°, β = 90.00°, γ = 90.00°
Space group P4/mmm (No. 123)
One atom of each set of equivalent atoms:
Mg  0.000  0.500  0.000
Sc  0.000  0.000  0.500
Sn  0.500  0.500  0.500
Ru  0.000  0.000  0.000

Calculated values
* E_form: 0.0846 eV per atom
* crystal system: tetragonal
* magnetization: 0.00 μB/f.u.

=====

Entry 5:
MgScSnRu after structural relaxation, computed with PBE.

a = 6.620 Å, b = 6.620 Å, c = 6.620 Å
α = 90.00°, β = 90.00°, γ = 90.00°
Space group F-43m (No. 216)
One atom of each set of equivalent atoms:
Mg  0.000  0.000  0.000
Sc  0.250  0.250  0.750
Sn  0.250  0.250  0.250
Ru  0.000  0.000  0.500

Calculated values
* E_form: -0.3166 eV per atom
* crystal system: cubic
* magnetization: 0.00 μB/f.u.

=====

Entry 6:
SrMg2ScRu after structural relaxation, computed with PBE.

a = 5.248 Å, b = 5.248 Å, c = 4.853 Å
α = 90.00°, β = 90.00°, γ = 90.00°
Space group P4/mmm (No. 123)
One atom of each set of equivalent atoms:
Sr  0.000  0.000  0.000
Mg  0.000  0.500  0.500
Sc  0.500  0.500  0.000
Ru  0.500  0.500  0.500

Calculated values
* E_form: -0.0881 eV per atom
* crystal system: tetragonal
* magnetization: 0.00 μB/f.u.

=====

Entry 7:
TbMgScRu after structural relaxation, computed with PBE.

a = 3.362 Å, b = 3.362 Å, c = 7.838 Å
α = 90.00°, β = 90.00°, γ = 90.00°
Space group P4mm (No. 99)
One atom of each set of equivalent atoms:
Tb  0.000  0.000  0.000
Mg  0.500  0.500  0.318
Sc  0.000  0.000  0.594
Ru  0.500  0.500  0.777

Calculated values
* E_form: -0.3243 eV per atom
* crystal system: tetragonal
* energy above the most stable polymorph in this dataset: 0 meV per atom
* magnetization: 0.00 μB/f.u.

=====

Entry 8:
TbMgScRu after structural relaxation, computed with PBE.

a = 6.920 Å, b = 6.920 Å, c = 6.920 Å
α = 90.00°, β = 90.00°, γ = 90.00°
Space group F-43m (No. 216)
One atom of each set of equivalent atoms:
Tb  0.000  0.000  0.000
Mg  0.250  0.250  0.250
Sc  0.000  0.000  0.500
Ru  0.250  0.250  0.750

Calculated values
* E_form: -0.2153 eV per atom
* crystal system: cubic
* energy above the most stable polymorph in this dataset: 109 meV per atom
* magnetization: 0.00 μB/f.u.

=====

Entry 9:
Mg2Sc5TcRu2 after structural relaxation, computed with PBE.

a = 10.985 Å, b = 10.985 Å, c = 3.348 Å
α = 90.00°, β = 90.00°, γ = 90.00°
Space group P4/mbm (No. 127)
One atom of each set of equivalent atoms:
Mg  0.181  0.319  0.000
Sc  0.000  0.500  0.500
Sc  0.058  0.804  0.500
Tc  0.000  0.000  0.000
Ru  0.133  0.633  0.000

Calculated values
* E_form: -0.2039 eV per atom
* crystal system: tetragonal
* magnetization: 0.00 μB/f.u.

=====

Entry 10:
ThMgScRu after structural relaxation, computed with PBE.

a = 7.066 Å, b = 7.066 Å, c = 7.066 Å
α = 90.00°, β = 90.00°, γ = 90.00°
Space group F-43m (No. 216)
One atom of each set of equivalent atoms:
Th  0.000  0.000  0.000
Mg  0.250  0.250  0.250
Sc  0.000  0.000  0.500
Ru  0.250  0.250  0.750

Calculated values
* E_form: -0.1448 eV per atom
* crystal system: cubic
* magnetization: 0.00 μB/f.u.

=====

Entry 11:
MgScTiRu after structural relaxation, computed with PBE.

a = 6.527 Å, b = 6.527 Å, c = 6.527 Å
α = 90.00°, β = 90.00°, γ = 90.00°
Space group F-43m (No. 216)
One atom of each set of equivalent atoms:
Mg  0.000  0.000  0.000
Sc  0.250  0.250  0.250
Ti  0.250  0.250  0.750
Ru  0.000  0.000  0.500

Calculated values
* E_form: -0.2300 eV per atom
* crystal system: cubic
* magnetization: 0.00 μB/f.u.

=====

Entry 12:
TmMgScRu after structural relaxation, computed with PBE.

a = 3.337 Å, b = 3.337 Å, c = 7.763 Å
α = 90.00°, β = 90.00°, γ = 90.00°
Space group P4mm (No. 99)
One atom of each set of equivalent atoms:
Tm  0.000  0.000  0.000
Mg  0.500  0.500  0.315
Sc  0.000  0.000  0.596
Ru  0.500  0.500  0.784

Calculated values
* E_form: -0.3722 eV per atom
* crystal system: tetragonal
* energy above the most stable polymorph in this dataset: 0 meV per atom
* magnetization: 0.00 μB/f.u.